(1)
BaPd2O4: relaxed, PBE.

Lattice parameters (Å, degrees): 6.386 6.386 6.904 117.55 117.55 90.00
Fractional positions:
O1 0.470 0.557 0.415
O2 0.142 0.530 0.585
O3 0.108 0.220 0.915
O4 0.807 0.694 0.915
O5 0.944 0.858 0.415
Pd1 0.625 0.875 0.750
O6 0.306 0.892 0.085
Ba1 0.750 0.250 0.500
Pd2 0.125 0.875 0.250
O7 0.443 0.056 0.585
Pd3 0.125 0.375 0.250
Pd4 0.125 0.875 0.750
O8 0.780 0.193 0.085
Ba2 0.500 0.500 0.000

Summary:
As for the space group: No. 88. Its uncorrected formation energy is -751.4 kJ/mol of formula units. The calculation puts the total energy at -39.93 eV/f.u.

(2)
Ba3PdO5: relaxed, PBE.

Lattice parameters (Å, degrees): 7.280 7.280 8.204 116.34 116.34 90.00
Fractional positions:
O1 0.231 0.992 0.722
O2 0.492 0.731 0.722
O3 0.008 0.508 0.278
O4 0.992 0.492 0.722
O5 0.500 0.500 0.000
Ba1 0.676 0.176 0.000
Pd1 0.250 0.750 0.500
Pd2 0.750 0.250 0.500
O6 0.731 0.231 0.722
O7 0.769 0.008 0.278
Ba2 0.824 0.676 0.000
O8 0.508 0.269 0.278
Ba3 0.176 0.324 0.000
O9 0.269 0.769 0.278
Ba4 0.750 0.750 0.500
Ba5 0.250 0.250 0.500
Ba6 0.324 0.824 0.000
O10 0.000 0.000 0.000

Summary:
As for the space group: No. 140. Its uncorrected formation energy is -1518.0 kJ/mol of formula units. The calculation puts the total energy at -51.49 eV/f.u.

(3)
BaPdO: relaxed, PBE.

Lattice parameters (Å, degrees): 4.034 5.668 5.669 91.60 90.00 90.00
Fractional positions:
O1 0.600 0.934 0.747
O2 0.101 0.585 0.399
Ba1 0.601 0.437 0.684
Ba2 0.601 0.870 0.250
Pd1 0.101 0.325 0.139
Pd2 0.100 0.980 0.794

Summary:
As for the space group: No. 38. Its uncorrected formation energy is -393.8 kJ/mol of formula units. The calculation puts the total energy at -16.16 eV/f.u.

(4)
BaPdO: relaxed, PBE.

Lattice parameters (Å, degrees): 5.333 3.673 6.760 90.00 113.07 90.00
Fractional positions:
Pd1 0.797 0.215 0.434
Ba1 0.214 0.715 0.268
Ba2 0.530 0.215 0.898
O1 0.065 0.215 0.968
Pd2 0.947 0.715 0.732
O2 0.679 0.715 0.198

Summary:
As for the space group: No. 11. Its uncorrected formation energy is -394.0 kJ/mol of formula units. The calculation puts the total energy at -16.16 eV/f.u.

(5)
Ba5PdO8: relaxed, PBE.

Lattice parameters (Å, degrees): 7.048 7.048 7.048 111.26 105.95 111.26
Fractional positions:
O1 0.027 0.224 0.742
Ba1 0.500 0.000 0.500
O2 0.694 0.397 0.902
O3 0.258 0.285 0.482
O4 0.703 0.208 0.306
Pd1 0.250 0.500 0.750
O5 0.098 0.792 0.495
O6 0.197 0.715 0.973
O7 0.518 0.776 0.803
Ba2 0.034 0.408 0.174
Ba3 0.826 0.860 0.235
Ba4 0.765 0.592 0.626
O8 0.505 0.603 0.297
Ba5 0.374 0.140 0.966

Summary:
As for the space group: No. 82. Its uncorrected formation energy is -2336.0 kJ/mol of formula units. The calculation puts the total energy at -78.68 eV/f.u.

(6)
BaPdO2: relaxed, PBE.

Lattice parameters (Å, degrees): 4.892 4.892 7.148 69.99 69.99 90.00
Fractional positions:
O1 0.524 0.125 0.250
Pd1 0.500 0.500 0.000
O2 0.375 0.476 0.750
Ba1 0.000 0.000 0.000
Ba2 0.750 0.250 0.500
Pd2 0.250 0.750 0.500
O3 0.875 0.774 0.750
O4 0.226 0.625 0.250

Summary:
As for the space group: No. 122. Its uncorrected formation energy is -455.6 kJ/mol of formula units. The calculation puts the total energy at -21.75 eV/f.u.

What is the formula in the sixth record?
BaPdO2